Entry 1:
Entry from Alexandria: a relaxed MgFeSi crystal (PBE-GGA).

Lattice parameters (Å, degrees): 5.6783 5.6783 5.6783 90.00 90.00 90.00
Last column: nearest neighbours and their distance in Å.
Space group F-43m (No. 216)
One atom of each set of equivalent atoms:
Mg  0.0000  0.0000  0.0000  4 Fe 2.46
Fe  0.2500  0.2500  0.7500  4 Mg 2.46, 4 Si 2.46
Si  0.0000  0.0000  0.5000  4 Fe 2.46

Results
The formation energy (no corrections) is 0.5 eV/f.u. Its calculated total energy is -5.00 eV per atom.

Entry 2:
Entry from Alexandria: a relaxed MgFe2Si crystal (PBE-GGA).

Lattice parameters (Å, degrees): 2.8852 2.8852 5.9423 90.00 90.00 90.00
Last column: nearest neighbours and their distance in Å.
Space group P4/mmm (No. 123)
One atom of each set of equivalent atoms:
Mg  0.0000  0.0000  0.0000  8 Fe 2.68, 4 Mg 2.89, 2 Si 2.97
Fe  0.5000  0.5000  0.2931  4 Si 2.38, 1 Fe 2.46
Si  0.0000  0.0000  0.5000  8 Fe 2.38

Results
The formation energy (no corrections) is -0.4 eV/f.u. Its calculated total energy is -6.09 eV per atom.

Entry 3:
Entry from Alexandria: a relaxed MgFe2Si crystal (PBE-GGA).

Lattice parameters (Å, degrees): 3.1449 4.0358 8.1357 90.00 90.00 90.00
Last column: nearest neighbours and their distance in Å.
Space group Imm2 (No. 44)
One atom of each set of equivalent atoms:
Mg  0.0000  0.0000  0.0000  8 Fe 2.56-2.78, 4 Si 2.71-2.74
Fe  0.0000  0.0000  0.5018  2 Si 2.45, 2 Fe 2.47, 4 Mg 2.56
Fe  0.0000  0.5000  0.2356  2 Fe 2.47, 4 Si 2.57, 2 Mg 2.66
Si  0.0000  0.5000  0.7717  6 Fe 2.45-2.57, 2 Mg 2.71

Results
The formation energy (no corrections) is -0.1 eV/f.u. Its calculated total energy is -6.00 eV per atom.